1.
An optimized crystal structure of PmPa3N, computed with PBE-GGA.

Values from the calculation:
* symmetry: Pm-3m, No. 221

abc: 4.8552 4.8552 4.8552
angles: 90.00 90.00 90.00
Closest atoms and distances in Å follow each position.
Positions (direct):
Pm1 0.5000 0.5000 0.5000  12 Pa 3.43
Pa1 0.5000 0.0000 0.0000  2 N 2.43
Pa2 0.0000 0.0000 0.5000  2 N 2.43
Pa3 0.0000 0.5000 0.0000  2 N 2.43
N1 0.0000 0.0000 0.0000  6 Pa 2.43

2.
An optimized crystal structure of PmPaN3, computed with PBE-GGA.

Values from the calculation:
* symmetry: C2/m, No. 12

abc: 3.6632 6.9961 7.2058
angles: 120.58 104.73 90.00
Closest atoms and distances in Å follow each position.
Positions (direct):
Pa1 0.1305 0.9943 0.2609  6 N 2.24-2.38
Pa2 0.8695 0.0057 0.7391  6 N 2.24-2.38
N1 0.5911 0.7704 0.1822  2 Pa 2.28, 2 Pm 2.43-2.50
N2 0.2733 0.7602 0.5466  2 Pa 2.38, 1 Pm 2.62
N3 0.7267 0.2398 0.4534  2 Pa 2.38, 1 Pm 2.62
N4 0.0591 0.2165 0.1182  2 Pa 2.24-2.25, 2 Pm 2.32
N5 0.4089 0.2296 0.8178  2 Pa 2.28, 2 Pm 2.43-2.50
N6 0.9409 0.7835 0.8818  2 Pa 2.24-2.25, 2 Pm 2.32
Pm1 0.6200 0.4566 0.2400  4 N 2.32-2.50
Pm2 0.3800 0.5434 0.7600  4 N 2.32-2.50

3.
An optimized crystal structure of PmPr4Pa3N8, computed with PBE-GGA.

Values from the calculation:
* symmetry: R-3m, No. 166

abc: 7.1839 7.2293 7.1845
angles: 119.80 120.00 90.00
Closest atoms and distances in Å follow each position.
Positions (direct):
N1 0.7182 0.7127 0.9654  2 Pa 2.38, 1 Pm 2.53, 1 Pr 2.59
N2 0.2473 0.7127 0.4946  2 Pa 2.38, 1 Pm 2.53, 1 Pr 2.59
N3 0.7527 0.2873 0.5054  2 Pa 2.38, 1 Pm 2.53, 1 Pr 2.59
N4 0.2818 0.2873 0.0346  2 Pa 2.38, 1 Pm 2.53, 1 Pr 2.59
N5 0.7357 0.7071 0.4714  3 Pa 2.41
N6 0.2643 0.2929 0.5286  3 Pa 2.41
N7 0.7527 0.2873 0.0346  2 Pa 2.38, 1 Pm 2.53, 1 Pr 2.59
N8 0.2473 0.7127 0.9654  2 Pa 2.38, 1 Pm 2.53, 1 Pr 2.59
Pr1 0.0000 0.0000 0.0000  6 N 2.70-2.73
Pr2 0.5000 0.0000 0.5000  6 N 2.70-2.73
Pr3 0.5000 0.0000 0.0000  6 N 2.59
Pr4 0.0000 0.0000 0.5000  6 N 2.70-2.73
Pm1 0.0000 0.5000 0.0000  6 N 2.53
Pa1 0.0000 0.5000 0.5000  6 N 2.38-2.41
Pa2 0.5000 0.5000 0.5000  6 N 2.38-2.41
Pa3 0.5000 0.5000 0.0000  6 N 2.38-2.41

4.
An optimized crystal structure of Pm2PrPaN4, computed with PBE-GGA.

Values from the calculation:
* symmetry: P2/m, No. 10

abc: 3.6060 6.2447 6.2050
angles: 109.22 90.00 90.00
Closest atoms and distances in Å follow each position.
Positions (direct):
Pm1 0.5000 0.0000 0.5000  6 N 2.52-2.53
Pm2 0.0000 0.5000 0.5000  6 N 2.67-2.73
Pr1 0.5000 0.5000 0.0000  6 N 2.57-2.58
Pa1 0.0000 0.0000 0.0000  6 N 2.35-2.43
N1 0.0000 0.2268 0.7644  1 Pa 2.35, 2 Pm 2.53, 2 Pr 2.58
N2 0.5000 0.2239 0.2286  2 Pa 2.43, 3 Pm 2.52-2.67, 1 Pr 2.57
N3 0.0000 0.7732 0.2356  1 Pa 2.35, 2 Pm 2.53, 2 Pr 2.58
N4 0.5000 0.7761 0.7714  2 Pa 2.43, 3 Pm 2.52-2.67, 1 Pr 2.57

no.,formation energy (no corrections) (eV per atom),DOS at the Fermi energy (states/eV/cell),M_tot (μB per cell)
1,-0.4495,6.13,0.00
2,-1.2732,4.96,0.00
3,-1.5343,8.57,0.00
4,-1.5075,3.71,0.00